Here is a relaxed structure of KIn2Au from the Alexandria database. Energies are from PBE. Values from VASP.

Cell and atoms, written as Quantum ESPRESSO input:
```
&SYSTEM
  ibrav = 0, nat = 12, ntyp = 3
/
ATOMIC_SPECIES
K 39.10 K.upf
In 114.82 In.upf
Au 196.97 Au.upf
CELL_PARAMETERS angstrom
4.8441 0.0000 0.0000
-2.4220 4.1951 0.0000
0.0000 0.0000 18.5023
ATOMIC_POSITIONS angstrom
K 0.0000 0.0000 0.0000
K 0.0000 2.7967 12.3349
K 2.4220 1.3984 6.1674
In 0.0000 0.0000 3.7630
In 0.0000 0.0000 8.4844
In 0.0000 2.7967 2.3169
In 0.0000 2.7967 16.0979
In 2.4220 1.3984 9.9304
In 2.4220 1.3984 14.6518
Au 0.0000 0.0000 15.1068
Au 0.0000 2.7967 8.9394
Au 2.4220 1.3984 2.7720
```

Output
The calculation puts the formation enthalpy at 0 K at -216 meV per atom. Its space group is R3m. The value obtained for the magnetic moment is 0.00 μB/f.u. The final energy is -10.72 eV per formula unit.